A plane-wave DFT calculation with PBE-GGA was carried out for a geometry-optimized KLiTlIn structure.

a b c (Å): 5.4212 5.4212 5.4212
angles (deg): 60.00 60.00 60.00
Closest atoms and distances in Å follow each position.
Element x y z (fractional)
K (0.0000, 0.0000, 0.0000)  4 Tl 3.32, 4 Li 3.32
Li (0.2500, 0.2500, 0.2500)  4 In 3.32, 4 K 3.32
Tl (0.7500, 0.7500, 0.7500)  4 In 3.32, 4 K 3.32
In (0.5000, 0.5000, 0.5000)  4 Tl 3.32, 4 Li 3.32

- calculated formation energy (eV per atom) = -0.070
- symmetry = No. 216
- electronic total energy (eV/cell) = -8.40
- total moment (μB/cell) = 0.0

A plane-wave DFT calculation with PBE-GGA was carried out for a geometry-optimized Tm3InC structure.

a b c (Å): 4.8360 4.8360 4.8360
angles (deg): 90.00 90.00 90.00
Closest atoms and distances in Å follow each position.
Element x y z (fractional)
Tm (0.0000, 0.0000, 0.5000)  2 C 2.42
Tm (0.0000, 0.5000, 0.0000)  2 C 2.42
Tm (0.5000, 0.0000, 0.0000)  2 C 2.42
In (0.5000, 0.5000, 0.5000)  12 Tm 3.42
C (0.0000, 0.0000, 0.0000)  6 Tm 2.42

- calculated formation energy (eV per atom) = -0.556
- symmetry = No. 221
- electronic total energy (eV/cell) = -28.16
- total moment (μB/cell) = 0.0

- Which of these has the lowest electronic total energy?
  Tm3InC